# Ta2NiOs (GGA-PBE, relaxed)
data_Ta2NiOs
_symmetry_space_group_name_H-M 'P 1'
_symmetry_Int_Tables_number 1
_cell_length_a 2.9153
_cell_length_b 4.6102
_cell_length_c 9.8677
_cell_angle_alpha 90.00
_cell_angle_beta 90.00
_cell_angle_gamma 90.00
loop_
_symmetry_equiv_pos_as_xyz
'x,y,z'
loop_
_atom_site_label
_atom_site_fract_x
_atom_site_fract_y
_atom_site_fract_z
Ta1 0.0000 0.0000 0.2420
Ta2 0.0000 0.0000 0.7580
Ta3 0.5000 0.5000 0.2580
Ta4 0.5000 0.5000 0.7420
Ni1 0.0000 0.0000 0.0000
Ni2 0.5000 0.5000 0.5000
Os1 0.0000 0.0000 0.5000
Os2 0.5000 0.5000 0.0000
# Total magnetic moment: 0.00 μB/f.u.
# Space-group type: Immm (71)
# E_form: 0.717 eV/atom
# Calculated total energy: -9.4620 eV/atom
# E above lowest polymorph: 967.8 meV/atom
# Theoretical density: 15.30 Mg/m³

***

# PmNdDyMg (GGA-PBE, relaxed)
data_PmNdDyMg
_symmetry_space_group_name_H-M 'P 1'
_symmetry_Int_Tables_number 1
_cell_length_a 3.6826
_cell_length_b 3.6826
_cell_length_c 9.1890
_cell_angle_alpha 90.00
_cell_angle_beta 90.00
_cell_angle_gamma 90.00
loop_
_symmetry_equiv_pos_as_xyz
'x,y,z'
loop_
_atom_site_label
_atom_site_fract_x
_atom_site_fract_y
_atom_site_fract_z
Pm1 0.0000 0.0000 0.0000
Nd1 0.5000 0.5000 0.2768
Dy1 0.0000 0.0000 0.5449
Mg1 0.5000 0.5000 0.7666
# Total magnetic moment: 0.00 μB/f.u.
# Space-group type: P4mm (99)
# E_form: -0.033 eV/atom
# Calculated total energy: -3.9617 eV/atom
# E above lowest polymorph: 0.0 meV/atom
# Theoretical density: 6.34 Mg/m³

***

> calculated total energy of number 1 (Ta2NiOs)?

-9.4620 eV/atom

***

> Among the records above, which one has the highest calculated total energy?

PmNdDyMg

***

> Among the records above, which one has the highest E above lowest polymorph?

Ta2NiOs